V3P4O16 | Alexandria | GGA+U | relaxed; total magnetization = 6.0 Bohr magnetons per cell; VASP energy = -0.5489 Ry/atom
1.0
5.1258 0.0000 0.0000
0.0000 8.3588 -0.0304
0.0000 1.8553 14.2599
V P O
6 8 32
Cartesian
2.5629 4.1794 -0.0152
0.5710 1.6288 11.4381
3.1339 5.3335 9.9365
0.0000 0.9277 7.1299
1.9919 4.8806 4.2930
4.5548 8.5853 2.7914
0.0044 6.7520 12.1895
2.9923 3.2464 12.5417
2.5673 8.5692 9.1547
0.4294 3.7160 8.8329
4.6963 6.4982 5.3966
2.5585 1.6449 5.0748
2.1335 6.9677 1.6878
5.1214 3.4621 2.0400
3.0930 4.2152 13.7205
4.0536 6.7228 13.2980
1.3739 6.2449 12.6515
1.6789 2.4210 12.7165
0.1144 8.2597 11.7691
4.1957 2.3215 12.4793
2.8273 4.0289 11.1924
4.7053 5.9501 10.9543
2.1424 9.3710 10.3900
2.6773 7.0615 9.5751
0.2644 2.9335 10.1822
3.9368 9.0763 8.6928
1.6328 4.6409 8.8953
4.2418 4.5414 8.6581
1.4907 8.5983 8.0463
0.5301 2.7472 7.6541
4.5957 7.4669 6.5754
3.6350 1.6158 6.1832
0.8840 5.6727 5.5714
3.4929 5.5732 5.3342
1.1889 1.1379 5.5367
4.8614 7.2806 4.0473
2.4485 3.1527 4.6544
2.9833 0.8431 3.8395
0.4205 4.2640 3.2752
2.2985 6.1852 3.0371
0.9300 7.8927 1.7502
5.0113 1.9544 2.4604
3.4469 7.7931 1.5130
3.7518 3.9692 1.5780
1.0721 3.4913 0.9315
2.0328 5.9989 0.5090